# 1
Density functional theory data (GGA-PBE) for a relaxed structure of CsPdBr2F8.

## Properties
For the density of states at the Fermi level, the calculation gives 8.164 states/eV per cell. The value obtained for the formation energy from raw total energies is -1.29 eV per atom. The spin magnetization comes out at 0.4 Bohr magnetons per cell.

Cell: 5.9797 6.2544 9.0966 Å, 53.07 70.81 61.44°
With the nearest neighbours (Å) after each atom.
Atoms (fractional coordinates):
Cs (0.5000, 0.5000, 0.5000)  8 F 3.02-3.36
Pd (0.0000, 0.0000, 0.0000)  4 F 1.94
Br (0.2013, 0.4609, 0.1365)  2 F 1.89-1.90
Br (0.7987, 0.5391, 0.8635)  2 F 1.89-1.90
F (0.8752, 0.6315, 0.6180)  1 Br 1.89
F (0.7138, 0.4661, 0.1064)  1 Br 1.90
F (0.1248, 0.3685, 0.3820)  1 Br 1.89
F (0.2862, 0.5339, 0.8936)  1 Br 1.90
F (0.7074, 0.9494, 0.1746)  1 Pd 1.94
F (0.2926, 0.0506, 0.8254)  1 Pd 1.94
F (0.1686, 0.9494, 0.1746)  1 Pd 1.94
F (0.8314, 0.0506, 0.8254)  1 Pd 1.94


# 2
Density functional theory data (GGA-PBE) for a relaxed structure of AgPW2.

## Properties
For the density of states at the Fermi level, the calculation gives 3.241 states/eV per cell. The polymorph energy (0 for the lowest one) comes out at 0.40 eV/f.u. The spin magnetization comes out at 0.0 Bohr magnetons per cell.

Cell: 8.8224 8.8224 8.8224 Å, 18.86 18.86 18.86°
With the nearest neighbours (Å) after each atom.
Atoms (fractional coordinates):
Ag (0.2500, 0.2500, 0.2500)  6 Ag 2.89, 6 W 2.95
P (0.7500, 0.7500, 0.7500)  6 W 2.53
W (0.0104, 0.0104, 0.0104)  3 P 2.53
W (0.4896, 0.4896, 0.4896)  3 P 2.53


# 3
Density functional theory data (GGA-PBE) for a relaxed structure of NaVCd.

## Properties
For the density of states at the Fermi level, the calculation gives 4.071 states/eV per cell. The polymorph energy (0 for the lowest one) comes out at 0.00 eV/f.u. The spin magnetization comes out at 0.0 Bohr magnetons per cell.

Cell: 3.1885 12.7074 3.1886 Å, 90.02 90.00 90.01°
With the nearest neighbours (Å) after each atom.
Atoms (fractional coordinates):
Na (0.2498, 0.6193, 0.7496)  4 Na 3.19, 4 Cd 3.29
Na (0.7502, 0.3807, 0.2504)  4 Na 3.19, 4 Cd 3.29
Cd (0.2501, 0.1917, 0.7503)  5 V 2.95-2.96, 4 Cd 3.19, 4 Na 3.29
Cd (0.7499, 0.8083, 0.2497)  5 V 2.95-2.96, 4 Cd 3.19, 4 Na 3.29
V (0.2500, 0.9596, 0.7499)  4 V 2.48
V (0.7500, 0.0404, 0.2501)  4 V 2.48


# 4
Density functional theory data (GGA-PBE) for a relaxed structure of Sm3Ga9Au2.

## Properties
The value obtained for the calculated total energy is -3.99 eV/atom. For the density of states at the Fermi level, the calculation gives 5.245 states/eV per cell. The spin magnetization comes out at 0.0 Bohr magnetons per cell.

Cell: 4.2978 8.3934 8.3934 Å, 75.73 75.17 75.17°
With the nearest neighbours (Å) after each atom.
Atoms (fractional coordinates):
Sm (0.0000, 0.0000, 0.0000)  12 Ga 3.26-3.29, 4 Au 3.59
Sm (0.6789, 0.3211, 0.3211)  10 Ga 3.11-3.22, 2 Au 3.19
Sm (0.3211, 0.6789, 0.6789)  10 Ga 3.11-3.22, 2 Au 3.19
Ga (0.0000, 0.5000, 0.5000)  4 Ga 2.92, 4 Sm 3.11, 4 Au 3.13
Ga (0.6675, 0.9559, 0.7091)  4 Ga 2.54-2.67, 1 Au 2.65
Ga (0.3325, 0.0441, 0.2909)  4 Ga 2.54-2.67, 1 Au 2.65
Ga (0.6675, 0.7091, 0.9559)  4 Ga 2.54-2.67, 1 Au 2.65
Ga (0.3325, 0.2909, 0.0441)  4 Ga 2.54-2.67, 1 Au 2.65
Ga (0.8620, 0.8659, 0.4101)  4 Ga 2.66-2.92, 2 Au 2.76
Ga (0.1380, 0.1341, 0.5899)  4 Ga 2.66-2.92, 2 Au 2.76
Ga (0.8620, 0.4101, 0.8659)  4 Ga 2.66-2.92, 2 Au 2.76
Ga (0.1380, 0.5899, 0.1341)  4 Ga 2.66-2.92, 2 Au 2.76
Au (0.5000, 0.2797, 0.7203)  6 Ga 2.65-2.76
Au (0.5000, 0.7203, 0.2797)  6 Ga 2.65-2.76


# 5
Density functional theory data (GGA-PBE) for a relaxed structure of Rb2Hg4Pt.

## Properties
For the density of states at the Fermi level, the calculation gives 3.776 states/eV per cell. The polymorph energy (0 for the lowest one) comes out at 0.94 eV/f.u. The spin magnetization comes out at 0.0 Bohr magnetons per cell.

Cell: 6.8189 6.8189 7.4294 Å, 117.31 117.30 90.02°
With the nearest neighbours (Å) after each atom.
Atoms (fractional coordinates):
Rb (0.7500, 0.2500, 0.5000)  8 Hg 3.73
Rb (0.2500, 0.7500, 0.5000)  8 Hg 3.73
Hg (0.7202, 0.2799, 0.0001)  1 Pt 2.70, 2 Hg 3.00
Hg (0.2798, 0.7201, 0.9999)  1 Pt 2.70, 2 Hg 3.00
Hg (0.2800, 0.2800, 0.0000)  1 Pt 2.70, 2 Hg 3.00
Hg (0.7201, 0.7201, 0.0000)  1 Pt 2.70, 2 Hg 3.00
Pt (0.0000, 0.9999, 0.9999)  4 Hg 2.70


# 6
Density functional theory data (GGA-PBE) for a relaxed structure of Ce3Si2Pd3.

## Properties
For the density of states at the Fermi level, the calculation gives 25.451 states/eV per cell. The value obtained for the formation energy from raw total energies is -0.79 eV per atom. The polymorph energy (0 for the lowest one) comes out at 0.09 eV/f.u. The spin magnetization comes out at 1.7 Bohr magnetons per cell.

Cell: 4.2945 5.6896 14.6909 Å, 90.00 90.00 112.17°
With the nearest neighbours (Å) after each atom.
Atoms (fractional coordinates):
Ce (0.9182, 0.8365, 0.3970)  7 Pd 3.03-3.22, 4 Si 3.04-3.32
Ce (0.0818, 0.1635, 0.8970)  7 Pd 3.03-3.22, 4 Si 3.04-3.32
Ce (0.9182, 0.8365, 0.1030)  7 Pd 3.03-3.22, 4 Si 3.04-3.32
Ce (0.0818, 0.1635, 0.6030)  7 Pd 3.03-3.22, 4 Si 3.04-3.32
Ce (0.6273, 0.2546, 0.2500)  5 Pd 3.03-3.10, 4 Si 3.14
Ce (0.3727, 0.7454, 0.7500)  5 Pd 3.03-3.10, 4 Si 3.14
Si (0.7935, 0.5869, 0.8956)  4 Pd 2.50-2.74
Si (0.2065, 0.4131, 0.3956)  4 Pd 2.50-2.74
Si (0.7935, 0.5869, 0.6044)  4 Pd 2.50-2.74
Si (0.2065, 0.4131, 0.1044)  4 Pd 2.50-2.74
Pd (0.6264, 0.2529, 0.4613)  3 Si 2.50-2.74
Pd (0.3736, 0.7471, 0.9613)  3 Si 2.50-2.74
Pd (0.6264, 0.2529, 0.0387)  3 Si 2.50-2.74
Pd (0.3736, 0.7471, 0.5387)  3 Si 2.50-2.74
Pd (0.3398, 0.6796, 0.2500)  2 Si 2.56
Pd (0.6602, 0.3204, 0.7500)  2 Si 2.56